No. 1
Material: CrHgSe2
Method: DFT, PBE-GGA
State: relaxed

The density of states at the Fermi level is 2.30 states/eV/f.u. Its uncorrected formation energy is -26 kJ/mol of formula units. The calculation puts the final energy at -34.3 eV/cell.

It has space group Immm (No. 71), with a = 2.993 Å, b = 5.192 Å, c = 11.691 Å, α = 90.00°, β = 90.00° and γ = 90.00°. The distinct sites, in fractional coordinates, are Cr at (0.000, 0.000, 0.000), Hg at (0.000, 0.000, 0.500) and Se at (0.000, 0.500, 0.337).

***

No. 2
Material: BaSrTc
Method: DFT, PBE-GGA
State: relaxed

The density of states at the Fermi level is 3.77 states/eV/f.u. The formation energy from the elements comes out at 0.973 eV/atom. The calculation puts the final energy at -11.1 eV/cell.

It has space group P-6m2 (No. 187), with a = 5.3679 Å, b = 5.3679 Å, c = 3.6447 Å, α = 90.00°, β = 90.00° and γ = 120.00°. The distinct sites, in fractional coordinates, are Ba at (0.0000, 0.0000, 0.0000), Sr at (0.6667, 0.3333, 0.5000) and Tc at (0.3333, 0.6667, 0.0000).

***

No. 3
Material: TlIn2SnHg8
Method: DFT, PBE-GGA
State: relaxed

The density of states at the Fermi level is 6.51 states/eV/f.u. The formation energy from the elements comes out at 0.071 eV/atom. The calculation puts the final energy at -13.4 eV/cell.

It has space group P-3m1 (No. 164), with a = 6.8355 Å, b = 6.8355 Å, c = 8.6209 Å, α = 90.00°, β = 90.00° and γ = 120.00°. The distinct sites, in fractional coordinates, are Tl at (0.0000, 0.0000, 0.0000), In at (0.3333, 0.6667, 0.3926), Sn at (0.0000, 0.0000, 0.5000), Hg at (0.1841, 0.3681, 0.7324) and Hg at (0.3333, 0.6667, 0.0442).